[1]
DFT (GGA-PBE) results for SmDyEr after structural relaxation.

Cell: 3.5779 6.1965 8.8163 Å, 96.72 101.69 90.01°
With the nearest neighbours (Å) after each atom.
Fractional positions:
Dy1 0.0820 0.3604 0.1639  6 Er 3.49-3.58, 3 Dy 3.49-3.58, 3 Sm 3.54-3.55
Dy2 0.9180 0.6396 0.8361  6 Er 3.49-3.58, 3 Dy 3.49-3.58, 3 Sm 3.54-3.55
Er1 0.5823 0.8612 0.1639  3 Er 3.48-3.58, 6 Dy 3.49-3.58, 3 Sm 3.54-3.55
Er2 0.4177 0.1388 0.8361  3 Er 3.48-3.58, 6 Dy 3.49-3.58, 3 Sm 3.54-3.55
Sm1 0.2498 0.7503 0.4992  3 Er 3.54-3.55, 3 Dy 3.54-3.55, 6 Sm 3.57-3.58
Sm2 0.7502 0.2497 0.5008  3 Er 3.54-3.55, 3 Dy 3.54-3.55, 6 Sm 3.57-3.58

Computed properties:
Energy relative to the lowest polymorph listed for this composition in eV per formula unit: 0.00
Space group: C2/m (12)
Total moment in μB/cell: 0.0
Calculated formation energy in eV/atom: -0.01



[2]
DFT (GGA-PBE) results for Lu2Sb3Mo4N3 after structural relaxation.

Cell: 5.8227 5.8227 13.3502 Å, 101.73 101.73 60.88°
With the nearest neighbours (Å) after each atom.
Fractional positions:
Lu1 0.3576 0.5289 0.0958  3 N 2.27-2.31
Lu2 0.4711 0.6424 0.4042  3 N 2.27-2.31
Lu3 0.5289 0.3576 0.5958  3 N 2.27-2.31
Lu4 0.6424 0.4711 0.9042  3 N 2.27-2.31
Mo1 0.6969 0.8716 0.0761  3 N 2.13-2.25
Mo2 0.0387 0.1722 0.0764  3 N 2.15-2.24
Mo3 0.8278 0.9613 0.4236  3 N 2.15-2.24
Mo4 0.1284 0.3031 0.4239  3 N 2.13-2.25
Mo5 0.8716 0.6969 0.5761  3 N 2.13-2.25
Mo6 0.1722 0.0387 0.5764  3 N 2.15-2.24
Mo7 0.9613 0.8278 0.9236  3 N 2.15-2.24
Mo8 0.3031 0.1284 0.9239  3 N 2.13-2.25
N1 0.0000 0.5000 0.0000  4 Mo 2.22-2.24, 2 Lu 2.27
N2 0.3377 0.8241 0.0001  4 Mo 2.13-2.25, 2 Lu 2.29-2.31
N3 0.1759 0.6623 0.4999  4 Mo 2.13-2.25, 2 Lu 2.29-2.31
N4 0.5000 0.0000 0.5000  4 Mo 2.22-2.24, 2 Lu 2.27
N5 0.8241 0.3377 0.5001  4 Mo 2.13-2.25, 2 Lu 2.29-2.31
N6 0.6623 0.1759 0.9999  4 Mo 2.13-2.25, 2 Lu 2.29-2.31
Sb1 0.7940 0.5747 0.2464  4 Mo 2.93-2.96, 2 Lu 2.95-2.99, 4 Sb 3.18-3.22
Sb2 0.0520 0.9480 0.2500  4 Mo 2.85-2.90, 2 Lu 2.93, 2 Sb 3.18
Sb3 0.4253 0.2060 0.2536  4 Mo 2.93-2.96, 2 Lu 2.95-2.99, 4 Sb 3.18-3.22
Sb4 0.5747 0.7940 0.7464  4 Mo 2.93-2.96, 2 Lu 2.95-2.99, 4 Sb 3.18-3.22
Sb5 0.9480 0.0520 0.7500  4 Mo 2.85-2.90, 2 Lu 2.93, 2 Sb 3.18
Sb6 0.2060 0.4253 0.7536  4 Mo 2.93-2.96, 2 Lu 2.95-2.99, 4 Sb 3.18-3.22

Computed properties:
E_tot in eV/atom: -7.899
Space group: C2/c (15)
Total moment in μB/cell: 0.0



[3]
DFT (GGA-PBE) results for HfTlNiMo after structural relaxation.

Cell: 4.6381 4.6381 4.6381 Å, 60.00 60.00 60.00°
With the nearest neighbours (Å) after each atom.
Fractional positions:
Hf1 0.5000 0.5000 0.5000  4 Mo 2.84, 4 Ni 2.84
Mo1 0.2500 0.2500 0.2500  4 Tl 2.84, 4 Hf 2.84
Ni1 0.7500 0.7500 0.7500  4 Hf 2.84, 4 Tl 2.84
Tl1 0.0000 0.0000 0.0000  4 Mo 2.84, 4 Ni 2.84

Computed properties:
Energy relative to the lowest polymorph listed for this composition in eV per formula unit: 0.00
Space group: F-43m (216)
Total moment in μB/cell: 0.9



[4]
DFT (GGA-PBE) results for PaNbW after structural relaxation.

Cell: 4.5622 4.5622 4.5622 Å, 60.00 60.00 60.00°
With the nearest neighbours (Å) after each atom.
Fractional positions:
Nb1 0.0000 0.0000 0.0000  4 Pa 2.79, 4 W 2.79
Pa1 0.2500 0.2500 0.2500  4 Nb 2.79
W1 0.7500 0.7500 0.7500  4 Nb 2.79

Computed properties:
Energy relative to the lowest polymorph listed for this composition in eV per formula unit: 0.00
Space group: F-43m (216)
Total moment in μB/cell: 0.0
Calculated formation energy in eV/atom: 0.72



[5]
DFT (GGA-PBE) results for ThMg2 after structural relaxation.

Cell: 17.5870 3.3338 5.5527 Å, 90.00 90.00 90.00°
With the nearest neighbours (Å) after each atom.
Fractional positions:
Mg1 0.0010 0.0000 0.0000  8 Mg 3.30-3.39, 4 Th 3.42-3.45
Mg2 0.6632 0.0000 0.0000  6 Mg 3.30-3.47, 6 Th 3.35-3.37
Mg3 0.1631 0.5000 0.0000  6 Mg 3.30-3.47, 6 Th 3.35-3.37
Mg4 0.5010 0.5000 0.0000  8 Mg 3.30-3.39, 4 Th 3.42-3.45
Mg5 0.4434 0.0000 0.5000  8 Mg 3.30-3.39, 4 Th 3.42-3.45
Mg6 0.7813 0.0000 0.5000  6 Mg 3.30-3.47, 6 Th 3.35-3.37
Mg7 0.2813 0.5000 0.5000  6 Mg 3.30-3.47, 6 Th 3.35-3.37
Mg8 0.9435 0.5000 0.5000  8 Mg 3.30-3.39, 4 Th 3.42-3.45
Th1 0.3295 0.0000 0.0000  2 Th 3.33, 10 Mg 3.35-3.45
Th2 0.8295 0.5000 0.0000  2 Th 3.33, 10 Mg 3.35-3.45
Th3 0.1150 0.0000 0.5000  2 Th 3.33, 10 Mg 3.35-3.45
Th4 0.6150 0.5000 0.5000  2 Th 3.33, 10 Mg 3.35-3.45

Computed properties:
E_tot in eV/atom: -3.371
Space group: Cmcm (63)
Total moment in μB/cell: 0.0



[6]
DFT (GGA-PBE) results for Li8ZnIn2 after structural relaxation.

Cell: 4.5827 4.5827 10.5797 Å, 102.67 102.67 59.94°
With the nearest neighbours (Å) after each atom.
Fractional positions:
In1 0.4515 0.4515 0.3554  10 Li 2.82-3.11, 1 In 2.96
In2 0.5485 0.5485 0.6446  10 Li 2.82-3.11, 1 In 2.96
Li1 0.3597 0.3597 0.0796  3 Zn 2.77, 1 In 2.82, 4 Li 2.83-2.90
Li2 0.7319 0.7319 0.1966  8 Li 2.72-2.90
Li3 0.0863 0.0863 0.2596  1 Zn 2.66, 4 Li 2.72-2.75, 3 In 2.82
Li4 0.8238 0.8238 0.4715  5 Li 2.71-2.81, 3 In 2.90
Li5 0.1762 0.1762 0.5285  5 Li 2.71-2.81, 3 In 2.90
Li6 0.9137 0.9137 0.7404  1 Zn 2.66, 4 Li 2.72-2.75, 3 In 2.82
Li7 0.2681 0.2681 0.8034  8 Li 2.72-2.90
Li8 0.6403 0.6403 0.9204  3 Zn 2.77, 1 In 2.82, 4 Li 2.83-2.90
Zn1 0.0000 0.0000 0.0000  8 Li 2.66-2.77

Computed properties:
E_tot in eV/atom: -2.207
Space group: C2/m (12)



[7]
DFT (GGA-PBE) results for KMo2 after structural relaxation.

Cell: 5.6392 5.6392 5.6392 Å, 60.00 60.00 60.00°
With the nearest neighbours (Å) after each atom.
Fractional positions:
K1 0.0000 0.0000 0.0000  12 Mo 3.31, 4 K 3.45
K2 0.2500 0.2500 0.2500  12 Mo 3.31, 4 K 3.45
Mo1 0.6250 0.6250 0.1250  6 Mo 2.82
Mo2 0.6250 0.1250 0.6250  6 Mo 2.82
Mo3 0.1250 0.6250 0.6250  6 Mo 2.82
Mo4 0.6250 0.6250 0.6250  6 Mo 2.82

Computed properties:
E_tot in eV/atom: -6.105
Space group: Fd-3m (227)
Total moment in μB/cell: 0.0



[8]
DFT (GGA-PBE) results for Hf3Zr3FeSn2 after structural relaxation.

Cell: 8.0152 8.0152 3.4157 Å, 90.00 90.00 120.00°
With the nearest neighbours (Å) after each atom.
Fractional positions:
Fe1 0.0000 0.0000 0.0000  6 Zr 2.59
Hf1 0.6132 0.0000 0.0000  4 Sn 3.02, 1 Fe 3.10, 4 Zr 3.21
Hf2 0.3868 0.3868 0.0000  4 Sn 3.02, 1 Fe 3.10, 4 Zr 3.21
Hf3 0.0000 0.6132 0.0000  4 Sn 3.02, 1 Fe 3.10, 4 Zr 3.21
Sn1 0.6667 0.3333 0.5000  6 Hf 3.02, 3 Zr 3.10
Sn2 0.3333 0.6667 0.5000  6 Hf 3.02, 3 Zr 3.10
Zr1 0.2432 0.0000 0.5000  2 Fe 2.59
Zr2 0.0000 0.2432 0.5000  2 Fe 2.59
Zr3 0.7568 0.7568 0.5000  2 Fe 2.59

Computed properties:
Energy relative to the lowest polymorph listed for this composition in eV per formula unit: 0.59
Space group: P-62m (189)
Total moment in μB/cell: 0.1



[9]
DFT (GGA-PBE) results for NdGdZn2Sb2O2 after structural relaxation.

Cell: 4.1406 4.1406 9.5228 Å, 90.00 90.00 90.00°
With the nearest neighbours (Å) after each atom.
Fractional positions:
Gd1 0.5000 0.5000 0.8888  4 O 2.31
Nd1 0.0000 0.0000 0.1176  4 O 2.37
O1 0.5000 0.0000 0.9959  2 Gd 2.31, 2 Nd 2.37
O2 0.0000 0.5000 0.9959  2 Gd 2.31, 2 Nd 2.37
Sb1 0.5000 0.5000 0.3136  4 Zn 2.73
Sb2 0.0000 0.0000 0.6866  4 Zn 2.72
Zn1 0.5000 0.0000 0.5008  4 Sb 2.72-2.73, 4 Zn 2.93
Zn2 0.0000 0.5000 0.5008  4 Sb 2.72-2.73, 4 Zn 2.93

Computed properties:
E_tot in eV/atom: -5.431
Space group: P4mm (99)
Total moment in μB/cell: 0.0



[10]
DFT (GGA-PBE) results for Li2MgTcH6 after structural relaxation.

Cell: 5.0002 5.0002 5.0002 Å, 60.00 60.00 60.00°
With the nearest neighbours (Å) after each atom.
Fractional positions:
H1 0.7433 0.2567 0.2567  1 Tc 1.72, 1 Mg 1.82
H2 0.2567 0.7433 0.2567  1 Tc 1.72, 1 Mg 1.82
H3 0.7433 0.7433 0.2567  1 Tc 1.72, 1 Mg 1.82
H4 0.2567 0.2567 0.7433  1 Tc 1.72, 1 Mg 1.82
H5 0.7433 0.2567 0.7433  1 Tc 1.72, 1 Mg 1.82
H6 0.2567 0.7433 0.7433  1 Tc 1.72, 1 Mg 1.82
Li1 0.2500 0.2500 0.2500  12 H 2.50
Li2 0.7500 0.7500 0.7500  12 H 2.50
Mg1 0.0000 0.0000 0.0000  6 H 1.82
Tc1 0.5000 0.5000 0.5000  6 H 1.72

Computed properties:
E_tot in eV/atom: -3.706
Space group: Fm-3m (225)
Total moment in μB/cell: 1.0



[11]
DFT (GGA-PBE) results for La2Hf2O5 after structural relaxation.

Cell: 7.4857 4.1434 4.1434 Å, 90.00 90.00 90.00°
With the nearest neighbours (Å) after each atom.
Fractional positions:
Hf1 0.2215 0.5000 0.5000  5 O 2.08
Hf2 0.7785 0.5000 0.5000  5 O 2.08
La1 0.0000 0.0000 0.0000  8 O 2.79
La2 0.5000 0.0000 0.0000  12 O 2.79-2.93
O1 0.2506 0.5000 0.0000  2 Hf 2.08
O2 0.7494 0.5000 0.0000  2 Hf 2.08
O3 0.2506 0.0000 0.5000  2 Hf 2.08
O4 0.7494 0.0000 0.5000  2 Hf 2.08
O5 0.5000 0.5000 0.5000  2 Hf 2.08

Computed properties:
Energy relative to the lowest polymorph listed for this composition in eV per formula unit: 0.00
Space group: P4/mmm (123)
Total moment in μB/cell: 0.0



[12]
DFT (GGA-PBE) results for MgAgAsPd after structural relaxation.

Cell: 4.5783 4.5783 4.5783 Å, 60.00 60.00 60.00°
With the nearest neighbours (Å) after each atom.
Fractional positions:
Ag1 0.0000 0.0000 0.0000  4 Mg 2.80, 4 As 2.80
As1 0.2500 0.2500 0.2500  4 Pd 2.80, 4 Ag 2.80
Mg1 0.7500 0.7500 0.7500  4 Pd 2.80, 4 Ag 2.80
Pd1 0.5000 0.5000 0.5000  4 Mg 2.80, 4 As 2.80

Computed properties:
Energy relative to the lowest polymorph listed for this composition in eV per formula unit: 0.00
Space group: F-43m (216)